Compound: NpNi6
Source: Alexandria
Functional: PBE
Structure: relaxed

Values from the calculation:
Symmetry: No. 62
Crystal system: orthorhombic
Raw total energy: -6.853 eV/atom

Cell: 7.747 4.813 9.726 Å, 90.00 90.00 90.00°
Element x y z (fractional)
Np 0.241 0.250 0.062
Np 0.259 0.750 0.562
Np 0.741 0.250 0.438
Np 0.759 0.750 0.938
Ni 0.058 0.750 0.090
Ni 0.064 0.007 0.308
Ni 0.064 0.493 0.308
Ni 0.108 0.250 0.519
Ni 0.149 0.750 0.850
Ni 0.187 0.250 0.759
Ni 0.313 0.750 0.259
Ni 0.351 0.250 0.350
Ni 0.392 0.750 0.019
Ni 0.436 0.507 0.808
Ni 0.436 0.993 0.808
Ni 0.442 0.250 0.590
Ni 0.558 0.750 0.410
Ni 0.564 0.007 0.192
Ni 0.564 0.493 0.192
Ni 0.608 0.250 0.981
Ni 0.649 0.750 0.650
Ni 0.687 0.250 0.741
Ni 0.813 0.750 0.241
Ni 0.851 0.250 0.150
Ni 0.892 0.750 0.481
Ni 0.936 0.507 0.692
Ni 0.936 0.993 0.692
Ni 0.942 0.250 0.910

Compound: Np2Ni7
Source: Alexandria
Functional: PBE
Structure: relaxed

Values from the calculation:
Symmetry: No. 166
Crystal system: trigonal
Raw total energy: -7.513 eV/atom

Cell: 12.399 12.399 12.399 Å, 22.71 22.71 22.71°
Element x y z (fractional)
Np 0.051 0.051 0.051
Np 0.150 0.150 0.150
Np 0.850 0.850 0.850
Np 0.949 0.949 0.949
Ni 0.000 0.500 0.500
Ni 0.109 0.611 0.611
Ni 0.278 0.278 0.278
Ni 0.388 0.388 0.388
Ni 0.389 0.389 0.891
Ni 0.389 0.891 0.389
Ni 0.500 0.000 0.500
Ni 0.500 0.500 0.000
Ni 0.500 0.500 0.500
Ni 0.611 0.109 0.611
Ni 0.611 0.611 0.109
Ni 0.612 0.612 0.612
Ni 0.722 0.722 0.722
Ni 0.891 0.389 0.389

no.,formation energy (eV/atom),spin magnetization (μB per atom),volume (Å³ per cell)
1,-0.049,0.26,362.7
2,-0.140,0.65,249.2